[1]
## HoErAs2Rh5 (PBE-GGA)

Data for a relaxed structure of HoErAs2Rh5.

Lattice parameters (Å, degrees): 4.2201 4.2201 8.7568 90.00 90.00 90.00
Last column: nearest neighbours and their distance in Å.
Fractional positions:
Ho: 0.0000 0.0000 0.0000  12 Rh 2.93-2.98
Er: 0.0000 0.0000 0.5000  8 Rh 3.16, 8 As 3.24
As: 0.5000 0.5000 0.3549  4 Rh 2.37, 1 As 2.54
As: 0.5000 0.5000 0.6451  4 Rh 2.37, 1 As 2.54
Rh: 0.0000 0.5000 0.2319  2 As 2.37
Rh: 0.0000 0.5000 0.7681  2 As 2.37
Rh: 0.5000 0.0000 0.2319  2 As 2.37
Rh: 0.5000 0.0000 0.7681  2 As 2.37
Rh: 0.5000 0.5000 0.0000  8 Rh 2.93, 4 Ho 2.98, 2 As 3.11

DOS(E_F): 0.6233 states/eV per atom
Magnetization: 0.00 μB per formula unit
Energy of formation from the pure elements: -0.80 eV/atom
VASP energy: -62.4 eV per cell

=====

[2]
## HoErAsS (PBE-GGA)

Data for a relaxed structure of HoErAsS.

Lattice parameters (Å, degrees): 3.9871 3.9871 5.6435 90.00 90.00 90.00
Last column: nearest neighbours and their distance in Å.
Fractional positions:
Ho: 0.0000 0.0000 0.0000  4 S 2.82, 2 As 2.82
Er: 0.5000 0.5000 0.5000  4 As 2.82, 2 S 2.82
As: 0.0000 0.0000 0.5000  4 Er 2.82, 2 Ho 2.82
S: 0.5000 0.5000 0.0000  4 Ho 2.82, 2 Er 2.82

DOS(E_F): 0.2372 states/eV per atom
Raw formation energy: -1.780 eV/atom
Magnetization: 0.00 μB per formula unit
VASP energy: -25.0 eV per cell

=====

[3]
## Ho2ErScAs4 (PBE-GGA)

Data for a relaxed structure of Ho2ErScAs4.

Lattice parameters (Å, degrees): 7.0008 4.0470 7.0023 90.00 109.48 90.00
Last column: nearest neighbours and their distance in Å.
Fractional positions:
Ho: 0.0000 0.0000 0.0000  6 As 2.86
Ho: 0.0000 0.5000 0.5000  6 As 2.91
Er: 0.5000 0.0000 0.5000  6 As 2.86
Sc: 0.5000 0.5000 0.0000  6 As 2.81
As: 0.2553 0.5000 0.2463  1 Sc 2.81, 2 Er 2.86, 3 Ho 2.86-2.91
As: 0.2592 0.0000 0.7584  2 Sc 2.81, 1 Er 2.86, 3 Ho 2.86-2.91
As: 0.7408 0.0000 0.2416  2 Sc 2.81, 1 Er 2.86, 3 Ho 2.86-2.91
As: 0.7447 0.5000 0.7537  1 Sc 2.81, 2 Er 2.86, 3 Ho 2.86-2.91

DOS(E_F): 0.1290 states/eV per atom
Magnetization: 0.00 μB per formula unit
Energy of formation from the pure elements: -1.48 eV/atom
VASP energy: -50.5 eV per cell

=====

[4]
## HoEr2ScAs4 (PBE-GGA)

Data for a relaxed structure of HoEr2ScAs4.

Lattice parameters (Å, degrees): 6.9941 4.0426 6.9952 90.00 109.47 90.00
Last column: nearest neighbours and their distance in Å.
Fractional positions:
Ho: 0.0000 0.0000 0.0000  6 As 2.86
Er: 0.0000 0.5000 0.5000  6 As 2.90
Er: 0.5000 0.0000 0.5000  6 As 2.85
Sc: 0.5000 0.5000 0.0000  6 As 2.81
As: 0.2548 0.5000 0.2467  1 Sc 2.81, 3 Er 2.85-2.90, 2 Ho 2.86
As: 0.2585 0.0000 0.7577  2 Sc 2.81, 3 Er 2.85-2.90, 1 Ho 2.86
As: 0.7415 0.0000 0.2423  2 Sc 2.81, 3 Er 2.85-2.90, 1 Ho 2.86
As: 0.7452 0.5000 0.7533  1 Sc 2.81, 3 Er 2.85-2.90, 2 Ho 2.86

DOS(E_F): 0.1294 states/eV per atom
Magnetization: 0.00 μB per formula unit
Energy of formation from the pure elements: -1.47 eV/atom
VASP energy: -50.4 eV per cell

=====

[5]
## Ho2Er3ScAs6 (PBE-GGA)

Data for a relaxed structure of Ho2Er3ScAs6.

Lattice parameters (Å, degrees): 9.0693 9.0693 8.1128 102.92 102.92 25.86
Last column: nearest neighbours and their distance in Å.
Fractional positions:
Ho: 0.1656 0.1656 0.3318  6 As 2.87-2.89
Ho: 0.8344 0.8344 0.6682  6 As 2.87-2.89
Er: 0.1674 0.1674 0.8343  6 As 2.86-2.91
Er: 0.5000 0.5000 0.5000  6 As 2.86-2.92
Er: 0.8326 0.8326 0.1657  6 As 2.86-2.91
Sc: 0.5000 0.5000 0.0000  6 As 2.81-2.82
As: 0.0009 0.0009 0.7588  2 Sc 2.82, 3 Er 2.86-2.92, 1 Ho 2.87
As: 0.3335 0.3335 0.4159  3 Er 2.86-2.87, 3 Ho 2.88-2.89
As: 0.3367 0.3367 0.9194  1 Sc 2.81, 3 Er 2.86-2.91, 2 Ho 2.87
As: 0.6633 0.6633 0.0806  1 Sc 2.81, 3 Er 2.86-2.91, 2 Ho 2.87
As: 0.6665 0.6665 0.5841  3 Er 2.86-2.87, 3 Ho 2.88-2.89
As: 0.9991 0.9991 0.2412  2 Sc 2.82, 3 Er 2.86-2.92, 1 Ho 2.87

DOS(E_F): 0.1537 states/eV per atom
Magnetization: 0.00 μB per formula unit
Energy of formation from the pure elements: -1.49 eV/atom
VASP energy: -74.9 eV per cell

=====

[6]
## HoErSc2As4 (PBE-GGA)

Data for a relaxed structure of HoErSc2As4.

Lattice parameters (Å, degrees): 6.8962 3.9919 6.9091 90.00 109.51 90.00
Last column: nearest neighbours and their distance in Å.
Fractional positions:
Ho: 0.0000 0.0000 0.0000  6 As 2.87
Er: 0.0000 0.5000 0.5000  6 As 2.87
Sc: 0.5000 0.0000 0.5000  6 As 2.77
Sc: 0.5000 0.5000 0.0000  6 As 2.77
As: 0.2630 0.0000 0.7538  3 Sc 2.77, 2 Er 2.87, 1 Ho 2.87
As: 0.2633 0.5000 0.2550  3 Sc 2.77, 1 Er 2.87, 2 Ho 2.87
As: 0.7370 0.0000 0.2462  3 Sc 2.77, 2 Er 2.87, 1 Ho 2.87
As: 0.7367 0.5000 0.7450  3 Sc 2.77, 1 Er 2.87, 2 Ho 2.87

DOS(E_F): 0.1274 states/eV per atom
Magnetization: 0.00 μB per formula unit
Energy of formation from the pure elements: -1.44 eV/atom
VASP energy: -51.9 eV per cell

=====

[7]
## Ho2ErSc3As6 (PBE-GGA)

Data for a relaxed structure of Ho2ErSc3As6.

Lattice parameters (Å, degrees): 6.9148 6.9148 6.8953 99.61 99.61 120.00
Last column: nearest neighbours and their distance in Å.
Fractional positions:
Ho: 0.1666 0.8334 0.0000  6 As 2.87
Ho: 0.8334 0.1666 0.0000  6 As 2.87
Er: 0.5000 0.5000 0.0000  6 As 2.87
Sc: 0.0000 0.0000 0.5000  6 As 2.77
Sc: 0.3332 0.6668 0.5000  6 As 2.77
Sc: 0.6668 0.3332 0.5000  6 As 2.77
As: 0.0795 0.4122 0.7366  3 Sc 2.77, 1 Er 2.87, 2 Ho 2.87
As: 0.2551 0.2551 0.2635  3 Sc 2.77, 1 Er 2.87, 2 Ho 2.87
As: 0.4122 0.0795 0.7366  3 Sc 2.77, 1 Er 2.87, 2 Ho 2.87
As: 0.5878 0.9205 0.2634  3 Sc 2.77, 1 Er 2.87, 2 Ho 2.87
As: 0.7449 0.7449 0.7365  3 Sc 2.77, 1 Er 2.87, 2 Ho 2.87
As: 0.9205 0.5878 0.2634  3 Sc 2.77, 1 Er 2.87, 2 Ho 2.87

DOS(E_F): 0.1700 states/eV per atom
Magnetization: 0.00 μB per formula unit
Energy of formation from the pure elements: -1.44 eV/atom
VASP energy: -77.9 eV per cell

=====

[8]
## Ho3Er2ScAs6 (PBE-GGA)

Data for a relaxed structure of Ho3Er2ScAs6.

Lattice parameters (Å, degrees): 9.0751 9.0751 8.1170 102.90 102.90 25.86
Last column: nearest neighbours and their distance in Å.
Fractional positions:
Ho: 0.0000 0.0000 0.0000  6 As 2.88-2.92
Ho: 0.3328 0.3328 0.6659  6 As 2.87-2.92
Ho: 0.6672 0.6672 0.3342  6 As 2.87-2.92
Er: 0.3343 0.3343 0.1681  6 As 2.86-2.88
Er: 0.6657 0.6657 0.8319  6 As 2.86-2.88
Sc: 0.0000 0.0000 0.5000  6 As 2.81-2.82
As: 0.1632 0.1632 0.5820  1 Sc 2.81, 2 Er 2.86, 3 Ho 2.87-2.92
As: 0.1670 0.1670 0.0827  3 Er 2.87-2.88, 3 Ho 2.88
As: 0.5004 0.5004 0.2592  2 Sc 2.82, 1 Er 2.86, 3 Ho 2.87-2.92
As: 0.4996 0.4996 0.7408  2 Sc 2.82, 1 Er 2.86, 3 Ho 2.87-2.92
As: 0.8330 0.8330 0.9173  3 Er 2.87-2.88, 3 Ho 2.88
As: 0.8368 0.8368 0.4180  1 Sc 2.81, 2 Er 2.86, 3 Ho 2.87-2.92

DOS(E_F): 0.1532 states/eV per atom
Magnetization: 0.00 μB per formula unit
Energy of formation from the pure elements: -1.49 eV/atom
VASP energy: -75.0 eV per cell

=====

[9]
## HoErAsSe (PBE-GGA)

Data for a relaxed structure of HoErAsSe.

Lattice parameters (Å, degrees): 4.0005 4.0005 21.0725 90.00 90.00 120.00
Last column: nearest neighbours and their distance in Å.
Fractional positions:
Ho: 0.0000 0.0000 0.0000  3 As 2.80, 3 Se 2.98
Ho: 0.3333 0.6667 0.6667  3 As 2.80, 3 Se 2.98
Ho: 0.6667 0.3333 0.3333  3 As 2.80, 3 Se 2.98
Er: 0.0000 0.0000 0.1805  3 As 2.83, 3 Se 3.00
Er: 0.3333 0.6667 0.8472  3 As 2.83, 3 Se 3.00
Er: 0.6667 0.3333 0.5139  3 As 2.83, 3 Se 3.00
As: 0.0000 0.0000 0.5915  3 Ho 2.80, 3 Er 2.83
As: 0.3333 0.6667 0.2582  3 Ho 2.80, 3 Er 2.83
As: 0.6667 0.3333 0.9249  3 Ho 2.80, 3 Er 2.83
Se: 0.0000 0.0000 0.4227  3 Ho 2.98, 3 Er 3.00
Se: 0.3333 0.6667 0.0894  3 Ho 2.98, 3 Er 3.00
Se: 0.6667 0.3333 0.7560  3 Ho 2.98, 3 Er 3.00

DOS(E_F): 0.6337 states/eV per atom
Raw formation energy: -1.608 eV/atom
Magnetization: 0.00 μB per formula unit
VASP energy: -71.1 eV per cell

=====

[10]
## Sm2HoErAs4 (PBE-GGA)

Data for a relaxed structure of Sm2HoErAs4.

Lattice parameters (Å, degrees): 7.1906 4.1555 7.1939 90.00 109.47 90.00
Last column: nearest neighbours and their distance in Å.
Fractional positions:
Sm: 0.0000 0.0000 0.0000  6 As 2.96-2.97
Sm: 0.0000 0.5000 0.5000  6 As 2.97
Ho: 0.5000 0.0000 0.5000  6 As 2.91
Er: 0.5000 0.5000 0.0000  6 As 2.90-2.91
As: 0.2575 0.5000 0.2520  1 Er 2.90, 2 Ho 2.91, 3 Sm 2.97
As: 0.2579 0.0000 0.7531  2 Er 2.91, 1 Ho 2.91, 3 Sm 2.96-2.97
As: 0.7421 0.0000 0.2469  2 Er 2.91, 1 Ho 2.91, 3 Sm 2.96-2.97
As: 0.7425 0.5000 0.7480  1 Er 2.90, 2 Ho 2.91, 3 Sm 2.97

DOS(E_F): 0.1126 states/eV per atom
Magnetization: 0.00 μB per formula unit
Energy of formation from the pure elements: -1.52 eV/atom
VASP energy: -49.4 eV per cell

=====

[11]
## Sm3HoEr2As6 (PBE-GGA)

Data for a relaxed structure of Sm3HoEr2As6.

Lattice parameters (Å, degrees): 7.1921 7.1921 7.1884 99.59 99.59 119.99
Last column: nearest neighbours and their distance in Å.
Fractional positions:
Sm: 0.0000 0.0000 0.0000  6 As 2.96-2.97
Sm: 0.3335 0.6665 0.0000  6 As 2.96-2.97
Sm: 0.6665 0.3335 0.0000  6 As 2.96-2.97
Ho: 0.5000 0.5000 0.5000  6 As 2.91
Er: 0.1667 0.8333 0.5000  6 As 2.90
Er: 0.8333 0.1667 0.5000  6 As 2.90
As: 0.0853 0.4193 0.2578  2 Er 2.90, 1 Ho 2.91, 3 Sm 2.96-2.97
As: 0.2467 0.2467 0.7421  2 Er 2.90, 1 Ho 2.91, 3 Sm 2.96-2.97
As: 0.4193 0.0853 0.2578  2 Er 2.90, 1 Ho 2.91, 3 Sm 2.96-2.97
As: 0.5807 0.9147 0.7422  2 Er 2.90, 1 Ho 2.91, 3 Sm 2.96-2.97
As: 0.7533 0.7533 0.2579  2 Er 2.90, 1 Ho 2.91, 3 Sm 2.96-2.97
As: 0.9147 0.5807 0.7422  2 Er 2.90, 1 Ho 2.91, 3 Sm 2.96-2.97

DOS(E_F): 0.1542 states/eV per atom
Magnetization: 0.00 μB per formula unit
Energy of formation from the pure elements: -1.52 eV/atom
VASP energy: -74.0 eV per cell

=====

[12]
## Sm2Ho3ErAs6 (PBE-GGA)

Data for a relaxed structure of Sm2Ho3ErAs6.

Lattice parameters (Å, degrees): 9.2460 9.2460 8.2695 102.90 102.90 25.86
Last column: nearest neighbours and their distance in Å.
Fractional positions:
Sm: 0.1659 0.1659 0.3323  6 As 2.95-2.96
Sm: 0.8341 0.8341 0.6677  6 As 2.95-2.96
Ho: 0.1671 0.1671 0.8338  6 As 2.89-2.93
Ho: 0.5000 0.5000 0.5000  6 As 2.90-2.93
Ho: 0.8329 0.8329 0.1662  6 As 2.89-2.93
Er: 0.5000 0.5000 0.0000  6 As 2.91-2.92
As: 0.0020 0.0020 0.7520  3 Ho 2.90-2.93, 2 Er 2.92, 1 Sm 2.95
As: 0.3339 0.3339 0.9221  3 Ho 2.89-2.93, 1 Er 2.91, 2 Sm 2.95
As: 0.3349 0.3349 0.4127  3 Ho 2.90, 3 Sm 2.96
As: 0.6651 0.6651 0.5873  3 Ho 2.90, 3 Sm 2.96
As: 0.6661 0.6661 0.0779  3 Ho 2.89-2.93, 1 Er 2.91, 2 Sm 2.95
As: 0.9980 0.9980 0.2480  3 Ho 2.90-2.93, 2 Er 2.92, 1 Sm 2.95

DOS(E_F): 0.1503 states/eV per atom
Magnetization: 0.00 μB per formula unit
Energy of formation from the pure elements: -1.52 eV/atom
VASP energy: -73.9 eV per cell